# PBE+U SmCoO3, optimized geometry
data_SmCoO3
_symmetry_space_group_name_H-M 'I m m a'
_symmetry_Int_Tables_number 74
_symmetry_space_group_name_Hall '-I 2b 2'
_cell_length_a 5.263
_cell_length_b 7.631
_cell_length_c 5.424
_cell_angle_alpha 90.00
_cell_angle_beta 90.00
_cell_angle_gamma 90.00
loop_
_atom_site_label
_atom_site_fract_x
_atom_site_fract_y
_atom_site_fract_z
_atom_site_occupancy
Sm1 0.000 0.250 0.010 1
Co1 0.000 0.000 0.500 1
O1 0.000 0.250 0.587 1
O2 0.250 0.050 0.250 1
# Theoretical density: 7.845 g/cm³
# Total energy: -7.1204 eV per atom